Entry from Alexandria: a geometry-optimized Mn3O5F structure (GGA+U).

a = 5.4654 Å, b = 5.4654 Å, c = 7.1750 Å
α = 108.41°, β = 108.41°, γ = 70.65°
Element x y z (fractional)
Mn: 0.0000 0.0000 0.0000
Mn: 0.0000 0.0000 0.5000
Mn: 0.3306 0.3306 0.3441
Mn: 0.3428 0.3428 0.8212
Mn: 0.6572 0.6572 0.1788
Mn: 0.6694 0.6694 0.6559
O: 0.0261 0.6395 0.3282
O: 0.1043 0.1043 0.2982
O: 0.3068 0.6932 0.0000
O: 0.3605 0.9739 0.6718
O: 0.4391 0.4391 0.6289
O: 0.5609 0.5609 0.3711
O: 0.6395 0.0261 0.3282
O: 0.6932 0.3068 0.0000
O: 0.8957 0.8957 0.7018
O: 0.9739 0.3605 0.6718
F: 0.2467 0.2467 0.0388
F: 0.7533 0.7533 0.9612

Output
E	-6.96	eV per atom
density	4.70	g/cm³
distance to the lowest polymorph of the same formula	0.5	kJ/mol of atoms